Record 1
This record from the Alexandria database describes an optimized crystal structure of CsTeN2Cl. The functional is PBE.

```
CsTeN2Cl
1.0
4.752 0.000 0.000
0.000 4.752 0.000
0.000 0.000 5.131
Cs Te N Cl
1 1 2 1
Direct
0.000 0.000 0.000 Cs
0.500 0.500 0.000 Te
0.000 0.500 0.500 N
0.500 0.000 0.500 N
0.500 0.500 0.500 Cl
```

Calculated density = 4.644 Mg/m³
Relative energy among the computed polymorphs = 0 meV per atom
Uncorrected formation energy = 907 kJ/mol of formula units
Total magnetic moment = 4.087 μB/cell
Total energy = -13.09 eV for the cell shown

Record 2
This record from the Alexandria database describes an optimized crystal structure of Cs2WNCl6. The functional is PBE.

```
Cs2WNCl6
1.0
-3.846 3.846 5.452
3.846 -3.846 5.452
3.846 3.846 -5.452
Cs W N Cl
2 1 1 6
Direct
0.250 0.750 0.500 Cs
0.750 0.250 0.500 Cs
0.000 0.000 0.000 W
0.500 0.500 0.000 N
0.220 0.220 0.000 Cl
0.220 0.220 0.441 Cl
0.220 0.780 0.000 Cl
0.780 0.220 0.000 Cl
0.780 0.780 0.000 Cl
0.780 0.780 0.559 Cl
```

Calculated density = 3.481 Mg/m³
Uncorrected formation energy = -716 kJ/mol of formula units
Total magnetic moment = 5.000 μB/cell
Total energy = -41.48 eV for the cell shown

Record 3
This record from the Alexandria database describes an optimized crystal structure of Cs2ZrNCl. The functional is PBE.

```
Cs2ZrNCl
1.0
6.886 0.000 0.000
0.000 6.886 0.000
0.000 0.000 4.980
Cs Zr N Cl
2 1 1 1
Direct
0.000 0.500 0.000 Cs
0.500 0.000 0.000 Cs
0.000 0.000 0.500 Zr
0.500 0.500 0.500 N
0.000 0.000 0.000 Cl
```

Calculated density = 2.858 Mg/m³
Uncorrected formation energy = 399 kJ/mol of formula units
Total magnetic moment = 4.464 μB/cell
Total energy = -16.29 eV for the cell shown

Record 4
This record from the Alexandria database describes an optimized crystal structure of Cs5NaCl6. The functional is PBE.

```
Cs5NaCl6
1.0
4.214 -7.307 0.000
4.214 7.307 0.000
-2.823 0.000 7.898
Cs Na Cl
5 1 6
Direct
0.000 0.000 0.000 Cs
0.166 0.834 0.500 Cs
0.332 0.668 0.000 Cs
0.668 0.332 0.000 Cs
0.834 0.166 0.500 Cs
0.500 0.500 0.500 Na
0.117 0.422 0.266 Cl
0.281 0.281 0.726 Cl
0.422 0.117 0.266 Cl
0.578 0.883 0.734 Cl
0.719 0.719 0.274 Cl
0.883 0.578 0.734 Cl
```

Calculated density = 3.074 Mg/m³
Uncorrected formation energy = -2200 kJ/mol of formula units
Total magnetic moment = 0.009 μB/cell
Total energy = -39.47 eV for the cell shown

Record 5
This record from the Alexandria database describes an optimized crystal structure of CsNaCl2. The functional is PBE.

```
CsNaCl2
1.0
2.226 1.285 7.548
-2.226 1.285 7.548
0.000 -2.571 7.548
Cs Na Cl
1 1 2
Direct
0.000 0.000 0.000 Cs
0.500 0.500 0.500 Na
0.233 0.233 0.233 Cl
0.767 0.767 0.767 Cl
```

Calculated density = 2.906 Mg/m³
Uncorrected formation energy = -704 kJ/mol of formula units
Total magnetic moment = 0.000 μB/cell
Total energy = -13.16 eV for the cell shown

Record 6
This record from the Alexandria database describes an optimized crystal structure of CsNaCl2. The functional is PBE.

```
CsNaCl2
1.0
3.846 0.000 0.000
0.000 3.846 0.000
0.000 0.000 7.917
Cs Na Cl
1 1 2
Direct
0.000 0.000 0.000 Cs
0.000 0.000 0.500 Na
0.500 0.500 0.282 Cl
0.500 0.500 0.718 Cl
```

Calculated density = 3.216 Mg/m³
Uncorrected formation energy = -663 kJ/mol of formula units
Total magnetic moment = 0.000 μB/cell
Total energy = -12.73 eV for the cell shown

Record 7
This record from the Alexandria database describes an optimized crystal structure of CsNa3Cl. The functional is PBE.

```
CsNa3Cl
1.0
6.090 0.000 0.000
0.000 6.090 0.000
0.000 0.000 6.090
Cs Na Cl
1 3 1
Direct
0.000 0.000 0.000 Cs
0.000 0.500 0.500 Na
0.500 0.000 0.500 Na
0.500 0.500 0.000 Na
0.500 0.500 0.500 Cl
```

Calculated density = 1.745 Mg/m³
Relative energy among the computed polymorphs = 0 meV per atom
Uncorrected formation energy = -230 kJ/mol of formula units
Total magnetic moment = 0.000 μB/cell
Total energy = -9.04 eV for the cell shown

Record 8
This record from the Alexandria database describes an optimized crystal structure of CsNaCl2. The functional is PBE.

```
CsNaCl2
1.0
2.310 -7.903 0.000
2.310 7.903 0.000
0.000 0.000 7.727
Cs Na Cl
2 2 4
Direct
0.122 0.878 0.750 Cs
0.878 0.122 0.250 Cs
0.382 0.618 0.750 Na
0.618 0.382 0.250 Na
0.206 0.794 0.250 Cl
0.500 0.500 0.000 Cl
0.500 0.500 0.500 Cl
0.794 0.206 0.750 Cl
```

Calculated density = 2.670 Mg/m³
Uncorrected formation energy = -714 kJ/mol of formula units
Total magnetic moment = 0.039 μB/cell
Total energy = -26.54 eV for the cell shown